# SrMgTaCd2

A relaxed SrMgTaCd2 crystal (GGA-PBE, Alexandria).

Structure (CIF):
```
data_SrMgTaCd2
_chemical_formula_sum 'Sr1 Mg1 Ta1 Cd2'
_symmetry_space_group_name_H-M 'P 4/m m m'
_symmetry_Int_Tables_number 123
_symmetry_space_group_name_Hall '-P 4 2'
_cell_length_a 5.517
_cell_length_b 5.517
_cell_length_c 5.888
_cell_angle_alpha 90.00
_cell_angle_beta 90.00
_cell_angle_gamma 90.00
loop_
_atom_site_label
_atom_site_type_symbol
_atom_site_fract_x
_atom_site_fract_y
_atom_site_fract_z
Sr1 Sr 0.000 0.000 0.000
Mg1 Mg 0.500 0.500 0.000
Ta1 Ta 0.000 0.000 0.500
Cd1 Cd 0.000 0.500 0.500
```

Values from the calculation:
ΔE to the lowest computed polymorph	0.0000	eV/atom
energy	-2.38	eV per atom
crystal system	tetragonal

=====

# Te2SIO

A relaxed Te2SIO crystal (GGA-PBE, Alexandria).

Structure (CIF):
```
data_Te2SIO
_chemical_formula_sum 'Te2 S1 I1 O1'
_symmetry_space_group_name_H-M 'P 4/m m m'
_symmetry_Int_Tables_number 123
_symmetry_space_group_name_Hall '-P 4 2'
_cell_length_a 4.807
_cell_length_b 4.807
_cell_length_c 5.072
_cell_angle_alpha 90.00
_cell_angle_beta 90.00
_cell_angle_gamma 90.00
loop_
_atom_site_label
_atom_site_type_symbol
_atom_site_fract_x
_atom_site_fract_y
_atom_site_fract_z
Te1 Te 0.000 0.500 0.000
S1 S 0.000 0.000 0.500
I1 I 0.500 0.500 0.500
O1 O 0.500 0.500 0.000
```

Values from the calculation:
raw formation energy	0.640	eV/atom
ΔE to the lowest computed polymorph	0.0000	eV/atom
energy	-2.74	eV per atom
crystal system	tetragonal

=====

# Sm2Er7

A relaxed Sm2Er7 crystal (GGA-PBE, Alexandria).

Structure (CIF):
```
data_Sm2Er7
_chemical_formula_sum 'Sm2 Er7'
_symmetry_space_group_name_H-M 'P -6 2 m'
_symmetry_Int_Tables_number 189
_symmetry_space_group_name_Hall 'P -6 -2'
_cell_length_a 9.6030
_cell_length_b 9.6030
_cell_length_c 3.5478
_cell_angle_alpha 90.00
_cell_angle_beta 90.00
_cell_angle_gamma 120.00
loop_
_atom_site_label
_atom_site_type_symbol
_atom_site_fract_x
_atom_site_fract_y
_atom_site_fract_z
Sm1 Sm 0.3333 0.6667 0.0000
Er1 Er 0.0000 0.0000 0.5000
Er2 Er 0.0000 0.3041 0.0000
Er3 Er 0.0000 0.6434 0.5000
```

Values from the calculation:
ΔE to the lowest computed polymorph	0.0195	eV/atom
energy	-4.55	eV per atom
crystal system	hexagonal

=====

# Zr4AlIn

A relaxed Zr4AlIn crystal (GGA-PBE, Alexandria).

Structure (CIF):
```
data_Zr4AlIn
_chemical_formula_sum 'Zr8 Al2 In2'
_symmetry_space_group_name_H-M 'C 1 2/m 1'
_symmetry_Int_Tables_number 12
_cell_length_a 10.561
_cell_length_b 3.277
_cell_length_c 8.156
_cell_angle_alpha 90.00
_cell_angle_beta 112.64
_cell_angle_gamma 90.00
loop_
_symmetry_equiv_pos_as_xyz
'x,y,z'
'-x,-y,-z'
'-x,y,-z'
'x,-y,z'
'x+1/2,y+1/2,z'
'-x+1/2,-y+1/2,-z'
'-x+1/2,y+1/2,-z'
'x+1/2,-y+1/2,z'
loop_
_atom_site_label
_atom_site_type_symbol
_atom_site_fract_x
_atom_site_fract_y
_atom_site_fract_z
Zr1 Zr 0.161 0.000 0.338
Zr2 Zr 0.164 0.000 0.824
Al1 Al 0.000 0.500 0.500
In1 In 0.000 0.500 0.000
```

Values from the calculation:
ΔE to the lowest computed polymorph	0.0000	eV/atom
energy	-7.05	eV per atom
crystal system	monoclinic

=====

# Ce3Er5H12

A relaxed Ce3Er5H12 crystal (GGA-PBE, Alexandria).

Structure (CIF):
```
data_Ce3Er5H12
_chemical_formula_sum 'Ce24 Er40 H96'
_symmetry_space_group_name_H-M 'I a -3 d'
_symmetry_Int_Tables_number 230
_symmetry_space_group_name_Hall '-I 4bd 2c 3'
_cell_length_a 13.082
_cell_length_b 13.082
_cell_length_c 13.082
_cell_angle_alpha 90.00
_cell_angle_beta 90.00
_cell_angle_gamma 90.00
loop_
_atom_site_label
_atom_site_type_symbol
_atom_site_fract_x
_atom_site_fract_y
_atom_site_fract_z
Ce1 Ce 0.000 0.250 0.125
Er1 Er 0.000 0.000 0.000
Er2 Er 0.000 0.250 0.375
H1 H 0.007 0.070 0.653
```

Values from the calculation:
energy	-4.49	eV per atom
crystal system	cubic

=====

# CsK2PmF6

A relaxed CsK2PmF6 crystal (GGA-PBE, Alexandria).

Structure (CIF):
```
data_CsK2PmF6
_chemical_formula_sum 'Cs3 K6 Pm3 F18'
_symmetry_space_group_name_H-M 'R 3'
_symmetry_Int_Tables_number 146
_symmetry_space_group_name_Hall 'R 3'
_cell_length_a 6.7330
_cell_length_b 6.7330
_cell_length_c 17.5165
_cell_angle_alpha 90.00
_cell_angle_beta 90.00
_cell_angle_gamma 120.00
loop_
_atom_site_label
_atom_site_type_symbol
_atom_site_fract_x
_atom_site_fract_y
_atom_site_fract_z
Cs1 Cs 0.0000 0.0000 0.0000
K1 K 0.0000 0.0000 0.2717
K2 K 0.0000 0.0000 0.7828
Pm1 Pm 0.0000 0.0000 0.4834
F1 F 0.0224 0.3100 0.5435
F2 F 0.0273 0.7600 0.3966
```

Values from the calculation:
raw formation energy	-3.296	eV/atom
energy	-5.20	eV per atom
crystal system	trigonal

=====

# Zr2CuRe

A relaxed Zr2CuRe crystal (GGA-PBE, Alexandria).

Structure (CIF):
```
data_Zr2CuRe
_chemical_formula_sum 'Zr4 Cu2 Re2'
_symmetry_space_group_name_H-M 'I m m 2'
_symmetry_Int_Tables_number 44
_cell_length_a 3.376
_cell_length_b 4.553
_cell_length_c 9.426
_cell_angle_alpha 90.00
_cell_angle_beta 90.00
_cell_angle_gamma 90.00
loop_
_symmetry_equiv_pos_as_xyz
'x,y,z'
'-x,-y,z'
'-x,y,z'
'x,-y,z'
'x+1/2,y+1/2,z+1/2'
'-x+1/2,-y+1/2,z+1/2'
'-x+1/2,y+1/2,z+1/2'
'x+1/2,-y+1/2,z+1/2'
loop_
_atom_site_label
_atom_site_type_symbol
_atom_site_fract_x
_atom_site_fract_y
_atom_site_fract_z
Zr1 Zr 0.000 0.000 0.000
Zr2 Zr 0.000 0.500 0.223
Cu1 Cu 0.000 0.500 0.765
Re1 Re 0.000 0.000 0.483
```

Values from the calculation:
energy	-8.41	eV per atom
crystal system	orthorhombic

=====

# Ce2Nd2Te2Se3

A relaxed Ce2Nd2Te2Se3 crystal (GGA-PBE, Alexandria).

Structure (CIF):
```
data_Ce2Nd2Te2Se3
_chemical_formula_sum 'Ce4 Nd4 Te4 Se6'
_symmetry_space_group_name_H-M 'I 4/m m m'
_symmetry_Int_Tables_number 139
_symmetry_space_group_name_Hall '-I 4 2'
_cell_length_a 5.777
_cell_length_b 5.777
_cell_length_c 15.809
_cell_angle_alpha 90.00
_cell_angle_beta 90.00
_cell_angle_gamma 90.00
loop_
_atom_site_label
_atom_site_type_symbol
_atom_site_fract_x
_atom_site_fract_y
_atom_site_fract_z
Ce1 Ce 0.000 0.500 0.000
Nd1 Nd 0.000 0.000 0.197
Te1 Te 0.000 0.000 0.396
Se1 Se 0.000 0.000 0.000
Se2 Se 0.000 0.500 0.250
```

Values from the calculation:
raw formation energy	-1.457	eV/atom
energy	-5.70	eV per atom
crystal system	tetragonal

=====

# LaInTeN2

A relaxed LaInTeN2 crystal (GGA-PBE, Alexandria).

Structure (CIF):
```
data_LaInTeN2
_chemical_formula_sum 'La1 In1 Te1 N2'
_symmetry_space_group_name_H-M 'P 4/m m m'
_symmetry_Int_Tables_number 123
_symmetry_space_group_name_Hall '-P 4 2'
_cell_length_a 4.446
_cell_length_b 4.446
_cell_length_c 5.697
_cell_angle_alpha 90.00
_cell_angle_beta 90.00
_cell_angle_gamma 90.00
loop_
_atom_site_label
_atom_site_type_symbol
_atom_site_fract_x
_atom_site_fract_y
_atom_site_fract_z
La1 La 0.000 0.000 0.000
In1 In 0.500 0.500 0.500
Te1 Te 0.500 0.500 0.000
N1 N 0.000 0.500 0.500
```

Values from the calculation:
raw formation energy	0.542	eV/atom
ΔE to the lowest computed polymorph	0.0227	eV/atom
energy	-4.95	eV per atom
crystal system	tetragonal

=====

# Sc7AlS5

A relaxed Sc7AlS5 crystal (GGA-PBE, Alexandria).

Structure (CIF):
```
data_Sc7AlS5
_chemical_formula_sum 'Sc28 Al4 S20'
_symmetry_space_group_name_H-M 'C m c m'
_symmetry_Int_Tables_number 63
_symmetry_space_group_name_Hall '-C 2c 2'
_cell_length_a 3.654
_cell_length_b 12.246
_cell_length_c 21.970
_cell_angle_alpha 90.00
_cell_angle_beta 90.00
_cell_angle_gamma 90.00
loop_
_atom_site_label
_atom_site_type_symbol
_atom_site_fract_x
_atom_site_fract_y
_atom_site_fract_z
Sc1 Sc 0.000 0.013 0.250
Sc2 Sc 0.000 0.138 0.536
Sc3 Sc 0.000 0.319 0.175
Sc4 Sc 0.000 0.408 0.614
Al1 Al 0.000 0.308 0.750
S1 S 0.000 0.049 0.640
S2 S 0.000 0.225 0.072
S3 S 0.000 0.500 0.000
```

Values from the calculation:
raw formation energy	-1.532	eV/atom
energy	-6.82	eV per atom
crystal system	orthorhombic

=====

# AlPdO2

A relaxed AlPdO2 crystal (GGA-PBE, Alexandria).

Structure (CIF):
```
data_AlPdO2
_chemical_formula_sum 'Al3 Pd3 O6'
_symmetry_space_group_name_H-M 'R -3 m'
_symmetry_Int_Tables_number 166
_symmetry_space_group_name_Hall '-R 3 2"'
_cell_length_a 3.4681
_cell_length_b 3.4681
_cell_length_c 16.2166
_cell_angle_alpha 90.00
_cell_angle_beta 90.00
_cell_angle_gamma 120.00
loop_
_atom_site_label
_atom_site_type_symbol
_atom_site_fract_x
_atom_site_fract_y
_atom_site_fract_z
Al1 Al 0.0000 0.0000 0.0000
Pd1 Pd 0.0000 0.0000 0.5000
O1 O 0.0000 0.0000 0.1078
```

Values from the calculation:
raw formation energy	-0.745	eV/atom
energy	-5.46	eV per atom
crystal system	trigonal

=====

# Tc2RhBr

A relaxed Tc2RhBr crystal (GGA-PBE, Alexandria).

Structure (CIF):
```
data_Tc2RhBr
_chemical_formula_sum 'Tc4 Rh2 Br2'
_symmetry_space_group_name_H-M 'I m m 2'
_symmetry_Int_Tables_number 44
_cell_length_a 2.946
_cell_length_b 4.548
_cell_length_c 9.129
_cell_angle_alpha 90.00
_cell_angle_beta 90.00
_cell_angle_gamma 90.00
loop_
_symmetry_equiv_pos_as_xyz
'x,y,z'
'-x,-y,z'
'-x,y,z'
'x,-y,z'
'x+1/2,y+1/2,z+1/2'
'-x+1/2,-y+1/2,z+1/2'
'-x+1/2,y+1/2,z+1/2'
'x+1/2,-y+1/2,z+1/2'
loop_
_atom_site_label
_atom_site_type_symbol
_atom_site_fract_x
_atom_site_fract_y
_atom_site_fract_z
Tc1 Tc 0.000 0.000 0.000
Tc2 Tc 0.000 0.500 0.249
Rh1 Rh 0.000 0.000 0.471
Br1 Br 0.000 0.500 0.730
```

Values from the calculation:
raw formation energy	0.693	eV/atom
ΔE to the lowest computed polymorph	0.2733	eV/atom
energy	-6.75	eV per atom
crystal system	orthorhombic

=====

# PaGa2Hg

A relaxed PaGa2Hg crystal (GGA-PBE, Alexandria).

Structure (CIF):
```
data_PaGa2Hg
_chemical_formula_sum 'Pa1 Ga2 Hg1'
_symmetry_space_group_name_H-M 'P 4/m m m'
_symmetry_Int_Tables_number 123
_symmetry_space_group_name_Hall '-P 4 2'
_cell_length_a 3.459
_cell_length_b 3.459
_cell_length_c 7.169
_cell_angle_alpha 90.00
_cell_angle_beta 90.00
_cell_angle_gamma 90.00
loop_
_atom_site_label
_atom_site_type_symbol
_atom_site_fract_x
_atom_site_fract_y
_atom_site_fract_z
Pa1 Pa 0.000 0.000 0.000
Ga1 Ga 0.500 0.500 0.263
Hg1 Hg 0.000 0.000 0.500
```

Values from the calculation:
ΔE to the lowest computed polymorph	0.1755	eV/atom
energy	-3.97	eV per atom
crystal system	tetragonal

=====

# HoTe3

A relaxed HoTe3 crystal (GGA-PBE, Alexandria).

Structure (CIF):
```
data_HoTe3
_chemical_formula_sum 'Ho4 Te12'
_symmetry_space_group_name_H-M 'C m c m'
_symmetry_Int_Tables_number 63
_symmetry_space_group_name_Hall '-C 2c 2'
_cell_length_a 4.154
_cell_length_b 28.771
_cell_length_c 4.430
_cell_angle_alpha 90.00
_cell_angle_beta 90.00
_cell_angle_gamma 90.00
loop_
_atom_site_label
_atom_site_type_symbol
_atom_site_fract_x
_atom_site_fract_y
_atom_site_fract_z
Ho1 Ho 0.000 0.052 0.250
Te1 Te 0.000 0.162 0.250
Te2 Te 0.000 0.316 0.250
Te3 Te 0.000 0.446 0.250
```

Values from the calculation:
raw formation energy	-0.568	eV/atom
energy	-4.07	eV per atom
crystal system	orthorhombic

=====

# Ca3PmTh2Bi6

A relaxed Ca3PmTh2Bi6 crystal (GGA-PBE, Alexandria).

Structure (CIF):
```
data_Ca3PmTh2Bi6
_chemical_formula_sum 'Ca6 Pm2 Th4 Bi12'
_symmetry_space_group_name_H-M 'C 1 2/m 1'
_symmetry_Int_Tables_number 12
_cell_length_a 8.027
_cell_length_b 13.895
_cell_length_c 7.957
_cell_angle_alpha 90.00
_cell_angle_beta 109.62
_cell_angle_gamma 90.00
loop_
_symmetry_equiv_pos_as_xyz
'x,y,z'
'-x,-y,-z'
'-x,y,-z'
'x,-y,z'
'x+1/2,y+1/2,z'
'-x+1/2,-y+1/2,-z'
'-x+1/2,y+1/2,-z'
'x+1/2,-y+1/2,z'
loop_
_atom_site_label
_atom_site_type_symbol
_atom_site_fract_x
_atom_site_fract_y
_atom_site_fract_z
Ca1 Ca 0.000 0.000 0.000
Ca2 Ca 0.000 0.334 0.000
Pm1 Pm 0.000 0.500 0.500
Th1 Th 0.000 0.167 0.500
Bi1 Bi 0.248 0.000 0.747
Bi2 Bi 0.249 0.333 0.746
```

Values from the calculation:
energy	-4.83	eV per atom
crystal system	monoclinic

=====

# MgZr3Se

A relaxed MgZr3Se crystal (GGA-PBE, Alexandria).

Structure (CIF):
```
data_MgZr3Se
_chemical_formula_sum 'Mg1 Zr3 Se1'
_symmetry_space_group_name_H-M 'P m -3 m'
_symmetry_Int_Tables_number 221
_symmetry_space_group_name_Hall '-P 4 2 3'
_cell_length_a 5.024
_cell_length_b 5.024
_cell_length_c 5.024
_cell_angle_alpha 90.00
_cell_angle_beta 90.00
_cell_angle_gamma 90.00
loop_
_atom_site_label
_atom_site_type_symbol
_atom_site_fract_x
_atom_site_fract_y
_atom_site_fract_z
Mg1 Mg 0.000 0.000 0.000
Zr1 Zr 0.000 0.500 0.500
Se1 Se 0.500 0.500 0.500
```

Values from the calculation:
raw formation energy	-0.091	eV/atom
ΔE to the lowest computed polymorph	0.0000	eV/atom
energy	-6.24	eV per atom
crystal system	cubic

=====

# CrSiIN2

A relaxed CrSiIN2 crystal (GGA-PBE, Alexandria).

Structure (CIF):
```
data_CrSiIN2
_chemical_formula_sum 'Cr1 Si1 I1 N2'
_symmetry_space_group_name_H-M 'P 4/m m m'
_symmetry_Int_Tables_number 123
_symmetry_space_group_name_Hall '-P 4 2'
_cell_length_a 3.822
_cell_length_b 3.822
_cell_length_c 5.424
_cell_angle_alpha 90.00
_cell_angle_beta 90.00
_cell_angle_gamma 90.00
loop_
_atom_site_label
_atom_site_type_symbol
_atom_site_fract_x
_atom_site_fract_y
_atom_site_fract_z
Cr1 Cr 0.000 0.000 0.000
Si1 Si 0.500 0.500 0.500
I1 I 0.000 0.000 0.500
N1 N 0.000 0.500 0.000
```

Values from the calculation:
raw formation energy	1.039	eV/atom
ΔE to the lowest computed polymorph	0.1972	eV/atom
energy	-5.61	eV per atom
crystal system	tetragonal

=====

# TmCdRh2

A relaxed TmCdRh2 crystal (GGA-PBE, Alexandria).

Structure (CIF):
```
data_TmCdRh2
_chemical_formula_sum 'Tm4 Cd4 Rh8'
_symmetry_space_group_name_H-M 'F m -3 m'
_symmetry_Int_Tables_number 225
_symmetry_space_group_name_Hall '-F 4 2 3'
_cell_length_a 6.585
_cell_length_b 6.585
_cell_length_c 6.585
_cell_angle_alpha 90.00
_cell_angle_beta 90.00
_cell_angle_gamma 90.00
loop_
_atom_site_label
_atom_site_type_symbol
_atom_site_fract_x
_atom_site_fract_y
_atom_site_fract_z
Tm1 Tm 0.000 0.000 0.000
Cd1 Cd 0.000 0.000 0.500
Rh1 Rh 0.250 0.250 0.250
```

Values from the calculation:
ΔE to the lowest computed polymorph	0.0296	eV/atom
energy	-5.64	eV per atom
crystal system	cubic

=====

# RePSeCl2

A relaxed RePSeCl2 crystal (GGA-PBE, Alexandria).

Structure (CIF):
```
data_RePSeCl2
_chemical_formula_sum 'Re1 P1 Se1 Cl2'
_symmetry_space_group_name_H-M 'P 4/m m m'
_symmetry_Int_Tables_number 123
_symmetry_space_group_name_Hall '-P 4 2'
_cell_length_a 4.716
_cell_length_b 4.716
_cell_length_c 5.485
_cell_angle_alpha 90.00
_cell_angle_beta 90.00
_cell_angle_gamma 90.00
loop_
_atom_site_label
_atom_site_type_symbol
_atom_site_fract_x
_atom_site_fract_y
_atom_site_fract_z
Re1 Re 0.000 0.000 0.000
P1 P 0.500 0.500 0.000
Se1 Se 0.500 0.500 0.500
Cl1 Cl 0.000 0.500 0.500
```

Values from the calculation:
raw formation energy	1.437	eV/atom
ΔE to the lowest computed polymorph	0.8944	eV/atom
energy	-3.57	eV per atom
crystal system	tetragonal

=====

# K6RbO

A relaxed K6RbO crystal (GGA-PBE, Alexandria).

Structure (CIF):
```
data_K6RbO
_chemical_formula_sum 'K12 Rb2 O2'
_symmetry_space_group_name_H-M 'A m m 2'
_symmetry_Int_Tables_number 38
_cell_length_a 4.244
_cell_length_b 7.921
_cell_length_c 28.915
_cell_angle_alpha 90.00
_cell_angle_beta 90.00
_cell_angle_gamma 90.00
loop_
_symmetry_equiv_pos_as_xyz
'x,y,z'
'-x,-y,z'
'-x,y,z'
'x,-y,z'
'x,y+1/2,z+1/2'
'-x,-y+1/2,z+1/2'
'-x,y+1/2,z+1/2'
'x,-y+1/2,z+1/2'
loop_
_atom_site_label
_atom_site_type_symbol
_atom_site_fract_x
_atom_site_fract_y
_atom_site_fract_z
K1 K 0.000 0.000 0.000
K2 K 0.000 0.000 0.432
K3 K 0.000 0.193 0.230
K4 K 0.500 0.222 0.129
Rb1 Rb 0.500 0.000 0.856
O1 O 0.500 0.000 0.196
```

Values from the calculation:
raw formation energy	-0.304	eV/atom
energy	-1.87	eV per atom
crystal system	orthorhombic